Entry 1:
Entry from Alexandria: crystalline YTc3Pd at its relaxed geometry (PBEsol).

As for the formation energy: 2474.0 meV/atom. Its space group is Pm-3m.

Lattice parameters (Å, degrees): 4.598 4.598 4.598 90.00 90.00 90.00
Atoms (fractional coordinates):
Y1 0.000 0.000 0.000
Tc1 0.000 0.000 0.500
Tc2 0.000 0.500 0.000
Tc3 0.500 0.000 0.000
Pd1 0.500 0.500 0.500

Entry 2:
Entry from Alexandria: crystalline CrIrPb2 at its relaxed geometry (PBEsol).

As for the formation energy: 523.1 meV/atom. Its space group is Cm.

Lattice parameters (Å, degrees): 10.616 3.059 5.154 90.00 107.88 90.00
Atoms (fractional coordinates):
Cr1 0.000 0.000 0.000
Cr2 0.500 0.500 0.000
Ir1 0.326 0.000 0.709
Ir2 0.826 0.500 0.709
Pb1 0.061 0.500 0.538
Pb2 0.263 0.500 0.169
Pb3 0.561 0.000 0.538
Pb4 0.763 0.000 0.169

Entry 3:
Entry from Alexandria: crystalline SbPbF7 at its relaxed geometry (PBEsol).

The electronic total energy is -86.7 eV for the cell shown. Its space group is P-1.

Lattice parameters (Å, degrees): 4.734 7.336 7.766 105.65 100.36 90.26
Atoms (fractional coordinates):
Sb1 0.156 0.314 0.216
Sb2 0.844 0.686 0.784
Pb1 0.309 0.146 0.692
Pb2 0.691 0.854 0.308
F1 0.010 0.550 0.324
F2 0.058 0.702 0.021
F3 0.148 0.820 0.730
F4 0.221 0.931 0.412
F5 0.310 0.079 0.110
F6 0.375 0.312 0.449
F7 0.459 0.451 0.166
F8 0.541 0.549 0.834
F9 0.625 0.688 0.551
F10 0.690 0.921 0.890
F11 0.779 0.069 0.588
F12 0.852 0.180 0.270
F13 0.942 0.298 0.979
F14 0.990 0.450 0.676

Entry 4:
Entry from Alexandria: crystalline AuBrF6 at its relaxed geometry (PBEsol).

The electronic total energy is -50.5 eV for the cell shown. Its space group is P2_1.

Lattice parameters (Å, degrees): 5.324 5.658 8.758 90.00 98.64 90.00
Atoms (fractional coordinates):
Au1 0.248 0.000 0.409
Au2 0.752 0.500 0.591
Br1 0.023 0.013 0.824
Br2 0.977 0.513 0.176
F1 0.185 0.194 0.219
F2 0.190 0.282 0.874
F3 0.213 0.270 0.536
F4 0.281 0.842 0.917
F5 0.289 0.725 0.276
F6 0.316 0.805 0.589
F7 0.684 0.305 0.411
F8 0.711 0.225 0.724
F9 0.719 0.342 0.083
F10 0.787 0.770 0.464
F11 0.810 0.782 0.126
F12 0.815 0.694 0.781

Entry 5:
Entry from Alexandria: crystalline TaRh2Au at its relaxed geometry (PBEsol).

As for the formation energy: -381.6 meV/atom. Its space group is I-4m2.

Lattice parameters (Å, degrees): 3.853 3.853 8.081 90.00 90.00 90.00
Atoms (fractional coordinates):
Ta1 0.000 0.000 0.000
Ta2 0.500 0.500 0.500
Rh1 0.000 0.000 0.500
Rh2 0.000 0.500 0.250
Rh3 0.500 0.000 0.750
Rh4 0.500 0.500 0.000
Au1 0.000 0.500 0.750
Au2 0.500 0.000 0.250

Entry 6:
Entry from Alexandria: crystalline CaZn at its relaxed geometry (PBEsol).

As for the formation energy: -186.3 meV/atom. Its space group is R-3m.

Lattice parameters (Å, degrees): 4.339 4.339 20.369 90.00 90.00 120.00
Atoms (fractional coordinates):
Ca1 0.000 0.000 0.090
Ca2 0.000 0.000 0.910
Ca3 0.333 0.667 0.577
Ca4 0.333 0.667 0.756
Ca5 0.667 0.333 0.244
Ca6 0.667 0.333 0.423
Zn1 0.000 0.000 0.333
Zn2 0.000 0.000 0.667
Zn3 0.333 0.667 0.000
Zn4 0.333 0.667 0.334
Zn5 0.667 0.333 0.000
Zn6 0.667 0.333 0.666

Number 1: V 97.2 Å³/cell. Number 2: V 159.3 Å³/cell. Number 3: V 255.1 Å³/cell. Number 4: V 260.8 Å³/cell. Number 5: V 120.0 Å³/cell. Number 6: V 332.0 Å³/cell.